## Al7Ag3 (PBE-GGA)

Data for a relaxed Al7Ag3 crystal.

Computed properties:
* distance to the lowest polymorph of the same formula: 0.019 eV/atom
* theoretical density: 5.0 Mg/m³
* space group: No. 12
* formation enthalpy at 0 K: -0.1 eV/f.u.
* D(E_F): 3.4 states/eV/cell
* magnetization: 0.0000 μB/atom

Lattice parameters (Å, degrees): 2.8870 5.7910 10.3549 100.26 98.01 90.00
Last column: nearest neighbours and their distance in Å.
Fractional coordinates of all 10 atoms:
Al (0.6008, 0.3072, 0.2016)  4 Ag 2.82-2.86, 8 Al 2.89-2.90
Ag (0.1986, 0.6121, 0.3972)  8 Al 2.79-2.92, 4 Ag 2.89-3.03
Ag (0.0000, 0.0000, 0.0000)  10 Al 2.86-2.90, 2 Ag 2.89
Al (0.3992, 0.6928, 0.7984)  4 Ag 2.82-2.86, 8 Al 2.89-2.90
Al (0.2002, 0.1092, 0.4004)  4 Ag 2.79-2.92, 8 Al 2.84-2.96
Al (0.0000, 0.5000, 0.0000)  10 Al 2.86-2.90, 2 Ag 2.90
Al (0.7998, 0.8908, 0.5996)  4 Ag 2.79-2.92, 8 Al 2.84-2.96
Ag (0.8014, 0.3879, 0.6028)  8 Al 2.79-2.92, 4 Ag 2.89-3.03
Al (0.3997, 0.1927, 0.7993)  8 Al 2.84-2.90, 4 Ag 2.87-2.90
Al (0.6003, 0.8073, 0.2007)  8 Al 2.84-2.90, 4 Ag 2.87-2.90